<one>
! PBE-GGA Li2PrIn2, optimized geometry; values from VASP
&SYSTEM
  ibrav = 0, nat = 10, ntyp = 3
/
ATOMIC_SPECIES
Pr 140.91 Pr.upf
In 114.82 In.upf
Li 6.94 Li.upf
ATOMIC_POSITIONS angstrom
Pr 1.822 -5.336 -2.195
In 1.880 -5.741 1.299
Li -0.230 -3.424 -4.151
In 1.952 -8.839 -1.909
Li 1.739 -2.935 0.239
Li 1.904 -7.737 -4.628
Pr 0.000 0.000 0.000
In -0.726 -6.303 -4.418
Li 3.873 -7.248 -0.238
In -0.798 -3.205 -1.211
CELL_PARAMETERS angstrom
-2.489 -1.372 1.269
-1.321 -4.324 -7.264
4.965 -6.348 2.875
! Theoretical density   5602 kg/m3
! Spin magnetization   0.04 μB/atom



<two>
! PBE-GGA Li2PrIn2, optimized geometry; values from VASP
&SYSTEM
  ibrav = 0, nat = 10, ntyp = 3
/
ATOMIC_SPECIES
In 114.82 In.upf
Li 6.94 Li.upf
Pr 140.91 Pr.upf
ATOMIC_POSITIONS angstrom
In 1.064 1.265 1.355
In 3.185 3.788 9.598
In 3.185 3.788 6.831
Li 3.390 1.463 5.476
In 1.064 1.265 4.121
Li 0.859 3.591 0.000
Pr 1.062 1.263 8.214
Li 0.859 3.591 5.476
Li 3.390 1.463 0.000
Pr 3.187 3.791 2.738
CELL_PARAMETERS angstrom
4.651 0.402 0.000
-0.403 4.651 0.000
0.000 0.000 10.953
! Theoretical density   5348 kg/m3
! Spin magnetization   0.00 μB/atom



Stability, lowest: <two>



<one>
! PBE-GGA Li6In2Pt, optimized geometry; values from VASP
&SYSTEM
  ibrav = 0, nat = 9, ntyp = 3
/
ATOMIC_SPECIES
In 114.82 In.upf
Li 6.94 Li.upf
Pt 195.08 Pt.upf
ATOMIC_POSITIONS angstrom
In 1.011 5.064 4.847
Li 2.000 5.076 -0.428
Li 2.330 7.002 1.415
Li 2.330 1.721 6.933
Pt 2.927 -0.326 -0.312
Li 2.000 -0.205 5.090
In 3.318 1.732 1.658
Li 2.165 4.338 2.271
Li 2.165 2.458 4.235
CELL_PARAMETERS angstrom
2.927 -0.326 -0.312
0.701 7.476 -0.681
0.701 -0.353 7.499
! Theoretical density   4638 kg/m3
! Spin magnetization   0.00 μB/atom



<two>
! PBE-GGA Li6In2Pt, optimized geometry; values from VASP
&SYSTEM
  ibrav = 0, nat = 9, ntyp = 3
/
ATOMIC_SPECIES
Li 6.94 Li.upf
In 114.82 In.upf
Pt 195.08 Pt.upf
ATOMIC_POSITIONS angstrom
Li 1.963 3.950 6.880
Li 3.437 3.874 9.042
Li 1.821 2.030 10.057
Li -1.106 2.207 5.718
In 1.638 1.456 5.254
In 0.693 4.625 9.505
Li 0.369 2.132 7.880
Pt 4.889 2.815 12.899
Li 0.511 4.051 4.703
CELL_PARAMETERS angstrom
-2.558 3.266 1.859
0.867 -0.392 7.441
4.022 3.207 5.460
! Theoretical density   4935 kg/m3
! Spin magnetization   0.00 μB/atom



Stability, lowest: <two>